A geometry-optimized BTe2WI structure, computed with PBE-GGA.

Calculated values
As for the raw formation energy: 1469 meV per atom. The calculation puts the calculated volume at 31.93 A^3/atom. The density of states at the Fermi level is 4.90 states/eV per cell. The value obtained for the magnetization is 1.4 μB per formula unit. For the energy relative to the lowest polymorph listed for this composition, the calculation gives 0 meV/atom.

Lattice parameters (Å, degrees): 5.240 5.240 5.815 90.00 90.00 90.00
Space group P4/mmm (No. 123)
Symmetry-distinct sites (fractional):
B  0.000  0.000  0.000 (multiplicity 1)
Te  0.000  0.500  0.500 (multiplicity 2)
W  0.500  0.500  0.500 (multiplicity 1)
I  0.500  0.500  0.000 (multiplicity 1)